1.
LiP | PBE | relaxed

As for the crystal system: hexagonal. The energy relative to the lowest polymorph listed for this composition comes out at 360 meV per atom. For the total energy, the calculation gives -30.58 eV/cell. The value obtained for the calculated formation energy is -31 kJ/mol of formula units. The calculated volume comes out at 15.41 A^3/atom.

Cell: 4.253 4.253 7.867 Å, 90.00 90.00 120.00°
Positions (direct):
P 0.000 0.000 0.250
Li 0.667 0.333 0.580
Li 0.667 0.333 0.920
P 0.000 0.000 0.750
P 0.667 0.333 0.250
P 0.333 0.667 0.750
Li 0.333 0.667 0.420
Li 0.333 0.667 0.080

2.
Li3P5 | PBE | relaxed

As for the crystal system: hexagonal. The energy relative to the lowest polymorph listed for this composition comes out at 114 meV per atom. For the total energy, the calculation gives -66.69 eV/cell. The value obtained for the calculated formation energy is -53 kJ/mol of formula units. The calculated volume comes out at 16.23 A^3/atom.

Cell: 7.641 7.641 5.136 Å, 90.00 90.00 120.00°
Positions (direct):
P 0.832 0.832 0.250
P 0.333 0.667 0.500
P 0.667 0.333 0.500
P 0.168 0.000 0.250
P 0.667 0.333 0.000
P 0.000 0.832 0.750
P 0.832 0.000 0.750
P 0.333 0.667 0.000
Li 0.000 0.430 0.750
Li 0.430 0.430 0.250
P 0.000 0.168 0.250
P 0.168 0.168 0.750
Li 0.570 0.000 0.250
Li 0.000 0.570 0.250
Li 0.430 0.000 0.750
Li 0.570 0.570 0.750

3.
LiP | PBE | relaxed

As for the crystal system: monoclinic. The energy relative to the lowest polymorph listed for this composition comes out at 226 meV per atom. For the total energy, the calculation gives -15.83 eV/cell. The value obtained for the calculated formation energy is -57 kJ/mol of formula units. The calculated volume comes out at 14.01 A^3/atom.

Cell: 4.774 2.708 4.336 Å, 89.99 90.00 90.00°
Positions (direct):
P 0.000 0.375 0.485
Li 0.500 0.874 0.748
Li 0.000 0.876 0.002
P 0.500 0.375 0.265

4.
LiP5 | PBE | relaxed

As for the crystal system: hexagonal. The energy relative to the lowest polymorph listed for this composition comes out at 516 meV per atom. For the total energy, the calculation gives -27.01 eV/cell. The value obtained for the calculated formation energy is 188 kJ/mol of formula units. The calculated volume comes out at 17.93 A^3/atom.

Cell: 6.258 6.258 3.172 Å, 90.00 90.00 120.00°
Positions (direct):
P 0.333 0.667 0.000
P 0.000 0.500 0.500
Li 0.000 0.000 0.000
P 0.667 0.333 0.000
P 0.500 0.000 0.500
P 0.500 0.500 0.500

5.
Li5P2 | PBE | relaxed

As for the crystal system: orthorhombic. For the total energy, the calculation gives -48.98 eV/cell. The value obtained for the calculated formation energy is -396 kJ/mol of formula units. The calculated volume comes out at 14.50 A^3/atom.

Cell: 5.342 6.264 7.330 Å, 115.30 111.37 90.00°
Positions (direct):
P 0.624 0.368 0.248
P 0.376 0.632 0.752
Li 0.419 0.070 0.838
P 0.124 0.880 0.248
Li 0.581 0.930 0.162
Li 0.919 0.768 0.838
Li 0.081 0.232 0.162
Li 0.011 0.261 0.522
Li 0.489 0.739 0.478
Li 0.511 0.261 0.522
P 0.876 0.120 0.752
Li 0.250 0.500 0.000
Li 0.750 0.500 0.000
Li 0.989 0.739 0.478

6.
Li2P | PBE | relaxed

As for the crystal system: orthorhombic. The energy relative to the lowest polymorph listed for this composition comes out at 0 meV per atom. For the total energy, the calculation gives -21.89 eV/cell. The value obtained for the calculated formation energy is -165 kJ/mol of formula units. The calculated volume comes out at 13.50 A^3/atom.

Cell: 7.117 7.117 4.250 Å, 90.00 90.00 157.90°
Positions (direct):
P 0.100 0.900 0.500
Li 0.999 0.001 0.000
Li 0.774 0.226 0.500
Li 0.671 0.329 0.000
Li 0.446 0.554 0.500
P 0.345 0.655 0.000